1.
Computed, not measured: an optimized crystal structure of FeCuGePd at the PBE level of DFT.

Lattice parameters (Å, degrees): 4.272 4.272 4.272 60.00 60.00 60.00
Fractional positions:
Ge: 0.000 0.000 0.000
Fe: 0.250 0.250 0.250
Pd: 0.500 0.500 0.500
Cu: 0.750 0.750 0.750

**Polymorph energy (0 for the lowest one)**: 0 meV per atom
**SG**: No. 216

2.
Computed, not measured: an optimized crystal structure of Pr2FeCuGe2 at the PBE level of DFT.

Lattice parameters (Å, degrees): 4.290 4.290 8.023 90.00 90.00 120.00
Fractional positions:
Pr: 0.667 0.333 0.748
Ge: 0.000 0.000 0.500
Ge: 0.333 0.667 0.000
Fe: 0.333 0.667 0.500
Pr: 0.667 0.333 0.252
Cu: 0.000 0.000 0.000

**SG**: No. 187

3.
Computed, not measured: an optimized crystal structure of FeCuGePt at the PBE level of DFT.

Lattice parameters (Å, degrees): 4.251 4.251 4.251 60.00 60.00 60.00
Fractional positions:
Fe: 0.750 0.750 0.750
Cu: 0.500 0.500 0.500
Pt: 0.250 0.250 0.250
Ge: 0.000 0.000 0.000

**Polymorph energy (0 for the lowest one)**: 0 meV per atom
**SG**: No. 216

4.
Computed, not measured: an optimized crystal structure of FeCu4Ge2S7 at the PBE level of DFT.

Lattice parameters (Å, degrees): 6.474 6.474 8.392 97.66 97.66 48.80
Fractional positions:
Cu: 0.437 0.848 0.934
S: 0.759 0.677 0.145
S: 0.181 0.105 0.425
S: 0.461 0.397 0.286
Ge: 0.697 0.152 0.782
S: 0.032 0.968 0.000
S: 0.323 0.241 0.855
Cu: 0.578 0.999 0.358
Fe: 0.282 0.718 0.500
Ge: 0.848 0.303 0.218
Cu: 0.152 0.563 0.066
Cu: 0.001 0.422 0.642
S: 0.603 0.539 0.714
S: 0.895 0.819 0.575

**SG**: No. 5

Number 1: E -21.94 eV per cell. Number 2: E -33.84 eV per cell. Number 3: E -23.02 eV per cell. Number 4: E -66.03 eV per cell.